No. 1
Here is Dy4Y5Th after structural relaxation from Alexandria. Energies are from PBE.

Cell lengths 16.772, 3.537, 11.453 Å; angles 90.00, 108.77, 90.00 degrees
Space group C2/m (No. 12)
Asymmetric unit:
Dy 0.085 0.000 0.297 x4
Dy 0.105 0.500 0.799 x4
Y 0.000 0.500 0.000 x2
Y 0.191 0.000 0.082 x4
Y 0.205 0.000 0.615 x4
Th 0.000 0.500 0.500 x2

## Properties
M_tot: 0.00 μB per cell
calculated density: 6.85 g/cm3
crystal system: monoclinic
E: -5.781 eV/atom
relative energy among the computed polymorphs: 0.000 eV per atom
ΔH_f (0 K): 0.03 eV/atom



No. 2
Here is LaPr6Sc after structural relaxation from Alexandria. Energies are from PBE.

Cell lengths 9.250, 7.240, 9.386 Å; angles 90.00, 105.59, 90.00 degrees
Space group C2/m (No. 12)
Asymmetric unit:
La 0.000 0.000 0.000 x2
Pr 0.135 0.000 0.425 x4
Pr 0.201 0.243 0.792 x8
Sc 0.000 0.500 0.500 x2

## Properties
M_tot: 0.00 μB per cell
calculated density: 5.65 g/cm3
crystal system: monoclinic
E: -4.638 eV/atom
relative energy among the computed polymorphs: 0.320 eV per atom
ΔH_f (0 K): 0.35 eV/atom



No. 3
Here is Sm3TmNi2 after structural relaxation from Alexandria. Energies are from PBE.

Cell lengths 16.342, 3.908, 11.507 Å; angles 90.00, 123.70, 90.00 degrees
Space group C2/m (No. 12)
Asymmetric unit:
Sm 0.081 0.000 0.444 x4
Sm 0.082 0.000 0.937 x4
Sm 0.155 0.500 0.247 x4
Tm 0.159 0.500 0.751 x4
Ni 0.232 0.500 0.553 x4
Ni 0.233 0.500 0.051 x4

## Properties
M_tot: 0.00 μB per cell
calculated density: 8.01 g/cm3
crystal system: monoclinic
E: -5.292 eV/atom
ΔH_f (0 K): -0.26 eV/atom



No. 4
Here is K2AgGeCl6 after structural relaxation from Alexandria. Energies are from PBE.

Cell lengths 7.2870, 7.2870, 17.6080 Å; angles 90.00, 90.00, 120.00 degrees
Space group R3 (No. 146, hexagonal axes)
Asymmetric unit:
K 0.0000 0.0000 0.0000 x3
K 0.0000 0.0000 0.4962 x3
Ag 0.0000 0.0000 0.7487 x3
Ge 0.0000 0.0000 0.2488 x3
Cl 0.0133 0.4541 0.9972 x9
Cl 0.1211 0.7741 0.8337 x9

## Properties
M_tot: 0.00 μB per cell
calculated density: 2.90 g/cm3
crystal system: trigonal
E: -3.267 eV/atom
E_form (uncorrected): -27.50 kcal/mol of atoms



No. 5
Here is Sr3InHg after structural relaxation from Alexandria. Energies are from PBE.

Cell lengths 6.190, 6.190, 6.190 Å; angles 90.00, 90.00, 90.00 degrees
Space group Pm-3m (No. 221)
Asymmetric unit:
Sr 0.000 0.000 0.500 x3
In 0.500 0.500 0.500 x1
Hg 0.000 0.000 0.000 x1

## Properties
M_tot: 0.00 μB per cell
calculated density: 4.05 g/cm3
crystal system: cubic
E: -1.681 eV/atom
relative energy among the computed polymorphs: 0.343 eV per atom
ΔH_f (0 K): -0.06 eV/atom



No. 6
Here is AlAsPd2 after structural relaxation from Alexandria. Energies are from PBE.

Cell lengths 3.071, 3.071, 6.627 Å; angles 90.00, 90.00, 90.00 degrees
Space group P4/mmm (No. 123)
Asymmetric unit:
Al 0.000 0.000 0.000 x1
As 0.000 0.000 0.500 x1
Pd 0.500 0.500 0.223 x2

## Properties
M_tot: 0.00 μB per cell
calculated density: 8.36 g/cm3
crystal system: tetragonal
E: -5.238 eV/atom
relative energy among the computed polymorphs: 0.000 eV per atom
ΔH_f (0 K): -0.54 eV/atom



No. 7
Here is TmSc2Cd after structural relaxation from Alexandria. Energies are from PBE.

Cell lengths 3.3962, 3.3962, 30.6831 Å; angles 90.00, 90.00, 120.00 degrees
Space group R3m (No. 160, hexagonal axes)
Asymmetric unit:
Tm 0.0000 0.0000 0.0000 x3
Sc 0.0000 0.0000 0.2452 x3
Sc 0.0000 0.0000 0.4218 x3
Cd 0.0000 0.0000 0.8338 x3

## Properties
M_tot: 2.68 μB per cell
calculated density: 6.03 g/cm3
crystal system: trigonal
E: -4.556 eV/atom
relative energy among the computed polymorphs: 0.088 eV per atom
ΔH_f (0 K): -0.04 eV/atom



No. 8
Here is RePRu2Rh after structural relaxation from Alexandria. Energies are from PBE.

Cell lengths 4.672, 4.672, 4.271 Å; angles 90.00, 90.00, 90.00 degrees
Space group P4/mmm (No. 123)
Asymmetric unit:
Re 0.000 0.000 0.000 x1
P 0.500 0.500 0.000 x1
Ru 0.000 0.500 0.500 x2
Rh 0.500 0.500 0.500 x1

## Properties
M_tot: 3.19 μB per cell
calculated density: 9.30 g/cm3
crystal system: tetragonal
E: -6.800 eV/atom
ΔH_f (0 K): 1.95 eV/atom



No. 9
Here is SrTl2Br after structural relaxation from Alexandria. Energies are from PBE.

Cell lengths 5.215, 5.215, 9.318 Å; angles 90.00, 90.00, 90.00 degrees
Space group I-4m2 (No. 119)
Asymmetric unit:
Sr 0.000 0.000 0.000 x2
Tl 0.000 0.000 0.500 x2
Tl 0.000 0.500 0.750 x2
Br 0.000 0.500 0.250 x2

## Properties
M_tot: 0.00 μB per cell
calculated density: 7.55 g/cm3
crystal system: tetragonal
E: -2.581 eV/atom
relative energy among the computed polymorphs: 0.163 eV per atom
E_form (uncorrected): -12.90 kcal/mol of atoms



No. 10
Here is Al2CdGaPb after structural relaxation from Alexandria. Energies are from PBE.

Cell lengths 5.041, 5.041, 5.872 Å; angles 90.00, 90.00, 90.00 degrees
Space group P4/mmm (No. 123)
Asymmetric unit:
Al 0.000 0.500 0.000 x2
Cd 0.000 0.000 0.000 x1
Ga 0.500 0.500 0.500 x1
Pb 0.000 0.000 0.500 x1

## Properties
M_tot: 0.00 μB per cell
calculated density: 4.93 g/cm3
crystal system: tetragonal
E: -2.345 eV/atom
ΔH_f (0 K): 0.68 eV/atom



No. 11
Here is TbPm2Ho after structural relaxation from Alexandria. Energies are from PBE.

Cell lengths 3.6147, 3.6147, 34.9347 Å; angles 90.00, 90.00, 120.00 degrees
Space group R3m (No. 160, hexagonal axes)
Asymmetric unit:
Tb 0.0000 0.0000 0.0000 x3
Pm 0.0000 0.0000 0.4168 x3
Pm 0.0000 0.0000 0.5821 x3
Ho 0.0000 0.0000 0.8330 x3

## Properties
M_tot: 0.00 μB per cell
calculated density: 7.74 g/cm3
crystal system: trigonal
E: -4.664 eV/atom
relative energy among the computed polymorphs: 0.001 eV per atom
ΔH_f (0 K): 0.01 eV/atom



No. 12
Here is CoTc after structural relaxation from Alexandria. Energies are from PBE.

Cell lengths 9.090, 9.090, 2.584 Å; angles 90.00, 90.00, 90.00 degrees
Space group I4/m (No. 87)
Asymmetric unit:
Co 0.084 0.840 0.000 x8
Tc 0.118 0.347 0.000 x8

## Properties
M_tot: 0.00 μB per cell
calculated density: 9.76 g/cm3
crystal system: tetragonal
E: -8.256 eV/atom
relative energy among the computed polymorphs: 0.528 eV per atom
ΔH_f (0 K): 0.48 eV/atom



No. 13
Here is K3CdO2 after structural relaxation from Alexandria. Energies are from PBE.

Cell lengths 6.382, 12.724, 6.877 Å; angles 90.00, 90.00, 90.00 degrees
Space group Ibam (No. 72)
Asymmetric unit:
K 0.000 0.000 0.250 x4
K 0.000 0.259 0.250 x8
Cd 0.000 0.500 0.000 x4
O 0.249 0.128 0.000 x8

## Properties
M_tot: 0.00 μB per cell
calculated density: 3.11 g/cm3
crystal system: orthorhombic
E: -3.236 eV/atom
E_form (uncorrected): -20.33 kcal/mol of atoms



No. 14
Here is Pr8P3SI4 after structural relaxation from Alexandria. Energies are from PBE.

Cell lengths 8.4985, 8.4985, 23.2225 Å; angles 90.00, 90.00, 120.00 degrees
Space group R-3m (No. 166, hexagonal axes)
Asymmetric unit:
Pr 0.0000 0.0000 0.2295 x6
Pr 0.0009 0.5005 0.2289 x18
P 0.0000 0.5000 0.5000 x9
S 0.0000 0.0000 0.5000 x3
I 0.0000 0.0000 0.0000 x3
I 0.0000 0.5000 0.0000 x9

## Properties
M_tot: 0.00 μB per cell
calculated density: 6.04 g/cm3
crystal system: trigonal
E: -5.455 eV/atom
E_form (uncorrected): -32.42 kcal/mol of atoms



No. 15
Here is Sc2Si2Pt after structural relaxation from Alexandria. Energies are from PBE.

Cell lengths 6.314, 6.314, 4.231 Å; angles 90.00, 90.00, 90.00 degrees
Space group P4/mbm (No. 127)
Asymmetric unit:
Sc 0.171 0.329 0.000 x4
Si 0.135 0.635 0.500 x4
Pt 0.000 0.000 0.500 x2

## Properties
M_tot: 0.00 μB per cell
calculated density: 6.72 g/cm3
crystal system: tetragonal
E: -6.977 eV/atom
E_form (uncorrected): -24.61 kcal/mol of atoms



No. 16
Here is Er4ScTe after structural relaxation from Alexandria. Energies are from PBE.

Cell lengths 5.548, 21.219, 6.720 Å; angles 90.00, 90.00, 90.00 degrees
Space group Cmc2_1 (No. 36)
Asymmetric unit:
Er 0.000 0.066 0.000 x4
Er 0.000 0.207 0.243 x4
Er 0.000 0.207 0.761 x4
Er 0.000 0.358 0.003 x4
Sc 0.000 0.337 0.502 x4
Te 0.000 0.077 0.501 x4

## Properties
M_tot: 0.00 μB per cell
calculated density: 7.07 g/cm3
crystal system: orthorhombic
E: -4.812 eV/atom
E_form (uncorrected): -4.40 kcal/mol of atoms



No. 17
Here is ZnOs2Pt after structural relaxation from Alexandria. Energies are from PBE.

Cell lengths 5.812, 5.812, 10.403 Å; angles 90.00, 90.00, 90.00 degrees
Space group I-42d (No. 122)
Asymmetric unit:
Zn 0.000 0.000 0.000 x4
Os 0.242 0.250 0.625 x8
Pt 0.000 0.000 0.500 x4

## Properties
M_tot: 0.00 μB per cell
calculated density: 12.12 g/cm3
crystal system: tetragonal
E: -5.713 eV/atom
ΔH_f (0 K): 1.73 eV/atom



No. 18
Here is Pr3Tm2Ga4 after structural relaxation from Alexandria. Energies are from PBE.

Cell lengths 11.299, 4.458, 9.643 Å; angles 90.00, 92.77, 90.00 degrees
Space group C2/m (No. 12)
Asymmetric unit:
Pr 0.000 0.000 0.000 x2
Pr 0.120 0.500 0.380 x4
Tm 0.181 0.500 0.769 x4
Ga 0.081 0.000 0.608 x4
Ga 0.200 0.500 0.071 x4

## Properties
M_tot: 0.00 μB per cell
calculated density: 7.11 g/cm3
crystal system: monoclinic
E: -4.397 eV/atom
ΔH_f (0 K): -0.46 eV/atom



No. 19
Here is Ni3Ge2Ir after structural relaxation from Alexandria. Energies are from PBE.

Cell lengths 3.843, 7.313, 5.455 Å; angles 90.00, 90.00, 90.00 degrees
Space group Pmc2_1 (No. 26)
Asymmetric unit:
Ni 0.000 0.044 0.000 x2
Ni 0.000 0.311 0.387 x2
Ni 0.500 0.183 0.703 x2
Ge 0.000 0.355 0.818 x2
Ge 0.500 0.131 0.272 x2
Ir 0.500 0.448 0.084 x2

## Properties
M_tot: 0.00 μB per cell
calculated density: 11.13 g/cm3
crystal system: orthorhombic
E: -6.183 eV/atom
ΔH_f (0 K): -0.28 eV/atom



No. 20
Here is Ti3Al3TcRu2 after structural relaxation from Alexandria. Energies are from PBE.

Cell lengths 7.2366, 7.2366, 3.0552 Å; angles 90.00, 90.00, 120.00 degrees
Space group P-62m (No. 189)
Asymmetric unit:
Ti 0.0000 0.7153 0.0000 x3
Al 0.0000 0.3764 0.5000 x3
Tc 0.0000 0.0000 0.5000 x1
Ru 0.3333 0.6667 0.0000 x2

## Properties
M_tot: 0.00 μB per cell
calculated density: 6.29 g/cm3
crystal system: hexagonal
E: -7.599 eV/atom
ΔH_f (0 K): -0.51 eV/atom